Here is crystalline In3SnPd6 at its relaxed geometry from Alexandria. Energies are from PBE.

Properties
- Raw total energy: -4.704 eV per atom
- N(E_F): 0.393 states/eV per atom
- V: 18.94 Å³ per atom
- Energy of formation: -0.3663 eV/atom
- Spin magnetization: 0.0 μB per cell

CIF file:
```
data_In3SnPd6
_cell_length_a 9.909
_cell_length_b 12.712
_cell_length_c 6.016
_cell_angle_alpha 90.00
_cell_angle_beta 90.00
_cell_angle_gamma 90.00
_space_group_name_H-M_alt 'C m c 21'
_space_group_IT_number 36
loop_
_space_group_symop_operation_xyz
'x,y,z'
'-x,-y,z+1/2'
'-x,y,z'
'x,-y,z+1/2'
'x+1/2,y+1/2,z'
'-x+1/2,-y+1/2,z+1/2'
'-x+1/2,y+1/2,z'
'x+1/2,-y+1/2,z+1/2'
loop_
_atom_site_label
_atom_site_type_symbol
_atom_site_fract_x
_atom_site_fract_y
_atom_site_fract_z
_atom_site_occupancy
In1 In 0.000 0.083 0.000 1
In2 In 0.211 0.428 0.737 1
Sn1 Sn 0.000 0.306 0.249 1
Pd1 Pd 0.000 0.289 0.684 1
Pd2 Pd 0.000 0.486 0.005 1
Pd3 Pd 0.142 0.095 0.611 1
Pd4 Pd 0.209 0.234 0.980 1
```